# 1
CdSi | PBE | optimized geometry

Lattice parameters (Å, degrees): 2.9053 2.9053 5.2835 90.00 90.00 120.00
With the nearest neighbours (Å) after each atom.
Space group P-6m2 (No. 187)
Inequivalent atoms, fractional coordinates:
Cd  0.0000  0.0000  0.0000 [1 per cell]  6 Cd 2.91, 6 Si 3.13
Si  0.6667  0.3333  0.5000 [1 per cell]  6 Si 2.91, 6 Cd 3.13

=====

# 2
PtPb2 | PBE | optimized geometry

Lattice parameters (Å, degrees): 7.6107 4.4561 8.8116 90.00 90.00 90.00
With the nearest neighbours (Å) after each atom.
Space group Pnma (No. 62)
Inequivalent atoms, fractional coordinates:
Pt  0.2454  0.2500  0.1095 [4 per cell]  7 Pb 2.87-3.10
Pb  0.0224  0.7500  0.3368 [4 per cell]  3 Pt 2.98-3.10
Pb  0.1437  0.7500  0.9232 [4 per cell]  4 Pt 2.87-2.97

## Properties
M_tot: 0.00 Bohr magnetons per cell

=====

# 3
YScAl4Pd2 | PBE | optimized geometry

Lattice parameters (Å, degrees): 6.8465 4.2599 9.9984 90.00 90.00 90.00
With the nearest neighbours (Å) after each atom.
Space group Amm2 (No. 38)
Inequivalent atoms, fractional coordinates:
Y  0.0000  0.0000  0.0000 [2 per cell]  3 Pd 2.83-3.04, 4 Al 3.06
Sc  0.5000  0.0000  0.8541 [2 per cell]  3 Pd 2.81-3.06, 4 Al 3.01
Al  0.2035  0.0000  0.2901 [4 per cell]  3 Pd 2.56-2.65, 2 Al 2.79-2.86
Al  0.3061  0.0000  0.5676 [4 per cell]  3 Pd 2.57-2.60, 2 Al 2.65-2.86
Pd  0.0000  0.0000  0.7169 [2 per cell]  6 Al 2.57-2.65, 1 Y 2.83
Pd  0.5000  0.0000  0.1347 [2 per cell]  6 Al 2.56-2.60, 1 Sc 2.81

## Properties
M_tot: 0.06 Bohr magnetons per cell

=====

# 4
PrSmGeCl2 | PBE | optimized geometry

Lattice parameters (Å, degrees): 4.2362 4.2362 9.8665 90.00 90.00 120.00
With the nearest neighbours (Å) after each atom.
Space group P3m1 (No. 156)
Inequivalent atoms, fractional coordinates:
Pr  0.0000  0.0000  0.0000 [1 per cell]  3 Cl 2.93, 3 Ge 2.99
Sm  0.3333  0.6667  0.6574 [1 per cell]  3 Cl 2.89, 3 Ge 2.96
Ge  0.6667  0.3333  0.8255 [1 per cell]  3 Sm 2.96, 3 Pr 2.99
Cl  0.0000  0.0000  0.5013 [1 per cell]  3 Sm 2.89
Cl  0.3333  0.6667  0.1632 [1 per cell]  3 Pr 2.93

## Properties
M_tot: 0.01 Bohr magnetons per cell

=====

# 5
HoTmInTe3 | PBE | optimized geometry

Lattice parameters (Å, degrees): 4.2798 15.2030 11.9662 90.00 90.00 90.00
With the nearest neighbours (Å) after each atom.
Space group Cmcm (No. 63)
Inequivalent atoms, fractional coordinates:
Ho  0.0000  0.0834  0.2500 [4 per cell]  4 Te 2.93-3.01
Tm  0.0000  0.5000  0.0000 [4 per cell]  6 Te 3.07-3.11
In  0.0000  0.2422  0.7500 [4 per cell]  2 Ho 3.41, 4 Te 3.53-3.55
Te  0.0000  0.1440  0.0172 [8 per cell]  1 Ho 2.93, 2 Tm 3.07
Te  0.0000  0.4441  0.2500 [4 per cell]  2 Ho 3.01, 2 Tm 3.11

## Properties
energy above the most stable polymorph in this dataset: 0.33 eV/f.u.
M_tot: 0.76 Bohr magnetons per cell

=====

# 6
MgGaFeAg | PBE | optimized geometry

Lattice parameters (Å, degrees): 6.2985 6.2985 6.2985 90.00 90.00 90.00
With the nearest neighbours (Å) after each atom.
Space group F-43m (No. 216)
Inequivalent atoms, fractional coordinates:
Mg  0.0000  0.0000  0.0000 [4 per cell]  4 Fe 2.73, 4 Ag 2.73
Ga  0.0000  0.0000  0.5000 [4 per cell]  4 Ag 2.73, 4 Fe 2.73
Fe  0.2500  0.2500  0.7500 [4 per cell]  4 Ga 2.73, 4 Mg 2.73
Ag  0.2500  0.2500  0.2500 [4 per cell]  4 Mg 2.73, 4 Ga 2.73

## Properties
energy above the most stable polymorph in this dataset: 0.00 eV/f.u.
M_tot: 8.90 Bohr magnetons per cell

=====

# 7
Nd2Tl8Pt | PBE | optimized geometry

Lattice parameters (Å, degrees): 4.8126 4.8126 12.4202 90.00 90.00 90.00
With the nearest neighbours (Å) after each atom.
Space group P4/mmm (No. 123)
Inequivalent atoms, fractional coordinates:
Nd  0.0000  0.0000  0.1925 [2 per cell]  12 Tl 3.29-3.40
Tl  0.0000  0.5000  0.0000 [2 per cell]  8 Tl 3.33-3.40, 4 Nd 3.39
Tl  0.0000  0.5000  0.3735 [4 per cell]  2 Pt 2.87, 1 Tl 3.14
Tl  0.5000  0.5000  0.1851 [2 per cell]  8 Tl 3.33-3.36, 4 Nd 3.40
Pt  0.0000  0.0000  0.5000 [1 per cell]  8 Tl 2.87

## Properties
M_tot: 0.01 Bohr magnetons per cell

=====

# 8
Rb2PdSe16 | PBE | optimized geometry

Lattice parameters (Å, degrees): 12.8793 12.8793 6.9833 90.00 90.00 90.00
With the nearest neighbours (Å) after each atom.
Space group P-4b2 (No. 117)
Inequivalent atoms, fractional coordinates:
Rb  0.0000  0.0000  0.0000 [2 per cell]  2 Pd 3.49
Rb  0.0000  0.5000  0.5000 [2 per cell]  12 Se 3.92-4.04
Pd  0.0000  0.0000  0.5000 [2 per cell]  4 Se 2.47
Se  0.0316  0.1884  0.5298 [8 per cell]  1 Se 2.40, 1 Pd 2.47
Se  0.0774  0.6926  0.9133 [8 per cell]  2 Se 2.40-2.42
Se  0.0815  0.3069  0.0927 [8 per cell]  2 Se 2.40-2.41
Se  0.2032  0.7908  0.3710 [8 per cell]  2 Se 2.40-2.41

=====

Values for energy, eV per atom, ordered as above
-2.692 -4.631 -5.550 -5.201 -4.446 -3.863 -3.379 -3.590